# 1
Cs2BRhCl6 | PBE-GGA | relaxed

Geometry as POSCAR:
```
Cs2BRhCl6
1.0
-3.342 3.342 5.933
3.342 -3.342 5.933
3.342 3.342 -5.933
Cs B Rh Cl
2 1 1 6
Cartesian
3.342 0.000 2.966
0.000 3.342 2.966
0.000 0.000 0.000
0.000 0.000 5.933
1.484 1.484 0.000
1.858 -1.858 5.933
0.000 0.000 3.559
0.000 0.000 8.306
-1.858 1.858 5.933
1.858 1.858 5.933
```

Values from the calculation:
As for the total DFT energy (no corrections): -34.69 eV for the cell shown.



# 2
Te2PbCl | PBE-GGA | relaxed

Geometry as POSCAR:
```
Te2PbCl
1.0
4.225 0.000 0.000
0.000 5.212 0.000
0.000 0.000 10.019
Te Pb Cl
4 2 2
Cartesian
0.000 0.000 2.361
0.000 0.000 7.658
2.113 2.606 2.361
2.113 2.606 7.658
0.000 2.606 5.010
2.113 0.000 5.010
0.000 2.606 0.000
2.113 0.000 0.000
```

Values from the calculation:
The calculation puts the energy above the most stable polymorph in this dataset at 448.1 meV/atom.



no.,Fermi-level density of states (states/eV/atom),magnetic moment (μB/cell)
1,0.000,0.00
2,0.744,0.00